VASP calculation (GGA-PBE) on NaPd2Pb4 after structural relaxation.

Output
- Density of states at the Fermi level: 0.47 states/eV per atom
- Excess energy over the best structure of this formula in the dataset: 36.9 meV per atom
- Energy relative to the elements: -0.1895 eV per atom
- Energy: -0.14628 hartree per atom

abc: 6.8518 7.1234 8.6534
angles: 111.77 104.24 100.01
Positions (direct):
Na: 0.0000 0.0000 0.0000
Na: 0.1872 0.7697 0.4965
Pd: 0.1671 0.2912 0.8037
Pd: 0.4899 0.2331 0.6268
Pd: 0.7890 0.7824 0.2346
Pd: 0.8043 0.3625 0.2537
Pb: 0.0842 0.1926 0.4245
Pb: 0.4326 0.5007 0.2316
Pb: 0.4864 0.0286 0.2673
Pb: 0.4932 0.1153 0.9054
Pb: 0.4986 0.6381 0.8775
Pb: 0.7705 0.9723 0.6054
Pb: 0.8441 0.5061 0.6286
Pb: 0.9581 0.4981 0.0230